# 1
The following is a DFT calculation (GGA-PBE) of crystalline ScBPt3 at its relaxed geometry.

Output
Its symmetry is Pm-3m. The value obtained for the distance to the lowest polymorph of the same formula is 0 kJ/mol of formula units. The energy relative to the elements is -0.6542 eV per atom.

a = 4.260 Å, b = 4.260 Å, c = 4.260 Å
α = 90.00°, β = 90.00°, γ = 90.00°
Element x y z (fractional)
Sc 0.000 0.000 0.000
B 0.500 0.500 0.500
Pt 0.000 0.500 0.500
Pt 0.500 0.000 0.500
Pt 0.500 0.500 0.000



# 2
The following is a DFT calculation (GGA-PBE) of crystalline ScB3Pt at its relaxed geometry.

Output
Its symmetry is Pm-3m. The value obtained for the distance to the lowest polymorph of the same formula is 661 kJ/mol of formula units. The energy relative to the elements is 2.1330 eV per atom.

a = 4.163 Å, b = 4.163 Å, c = 4.163 Å
α = 90.00°, β = 90.00°, γ = 90.00°
Element x y z (fractional)
Sc 0.000 0.000 0.000
B 0.000 0.000 0.500
B 0.000 0.500 0.000
B 0.500 0.000 0.000
Pt 0.500 0.500 0.500



# 3
The following is a DFT calculation (GGA-PBE) of crystalline ScB2Pt at its relaxed geometry.

Output
Its symmetry is I4_1/amd. The value obtained for the distance to the lowest polymorph of the same formula is 0 kJ/mol of formula units. The energy relative to the elements is -0.2808 eV per atom.

a = 7.890 Å, b = 7.890 Å, c = 7.890 Å
α = 151.46°, β = 151.46°, γ = 40.81°
Element x y z (fractional)
Sc 0.375 0.625 0.750
Sc 0.625 0.375 0.250
B 0.000 0.000 0.000
B 0.000 0.000 0.500
B 0.000 0.500 0.000
B 0.500 0.000 0.500
Pt 0.125 0.875 0.250
Pt 0.875 0.125 0.750



# 4
The following is a DFT calculation (GGA-PBE) of crystalline ScBPt at its relaxed geometry.

Output
Its symmetry is P-6m2. The value obtained for the distance to the lowest polymorph of the same formula is 25 kJ/mol of formula units. The energy relative to the elements is -0.6876 eV per atom.

a = 3.790 Å, b = 3.790 Å, c = 3.588 Å
α = 90.00°, β = 90.00°, γ = 120.00°
Element x y z (fractional)
Sc 0.000 0.000 0.000
B 0.333 0.667 0.500
Pt 0.667 0.333 0.500



# 5
The following is a DFT calculation (GGA-PBE) of crystalline ScB2Pt at its relaxed geometry.

Output
Its symmetry is Fm-3m. The value obtained for the distance to the lowest polymorph of the same formula is 123 kJ/mol of formula units. The energy relative to the elements is 0.0376 eV per atom.

a = 4.047 Å, b = 4.047 Å, c = 4.047 Å
α = 60.00°, β = 60.00°, γ = 60.00°
Element x y z (fractional)
Sc 0.000 0.000 0.000
B 0.250 0.250 0.250
B 0.750 0.750 0.750
Pt 0.500 0.500 0.500



# 6
The following is a DFT calculation (GGA-PBE) of crystalline ScB3Pt at its relaxed geometry.

Output
Its symmetry is Pm-3m. The value obtained for the distance to the lowest polymorph of the same formula is 0 kJ/mol of formula units. The energy relative to the elements is 0.7633 eV per atom.

a = 4.112 Å, b = 4.112 Å, c = 4.112 Å
α = 90.00°, β = 90.00°, γ = 90.00°
Element x y z (fractional)
Sc 0.000 0.000 0.000
B 0.000 0.500 0.500
B 0.500 0.000 0.500
B 0.500 0.500 0.000
Pt 0.500 0.500 0.500



# 7
The following is a DFT calculation (GGA-PBE) of crystalline Sc3BPt at its relaxed geometry.

Output
Its symmetry is Pm-3m. The value obtained for the distance to the lowest polymorph of the same formula is 0 kJ/mol of formula units. The energy relative to the elements is -0.4095 eV per atom.

a = 4.561 Å, b = 4.561 Å, c = 4.561 Å
α = 90.00°, β = 90.00°, γ = 90.00°
Element x y z (fractional)
Sc 0.000 0.000 0.500
Sc 0.000 0.500 0.000
Sc 0.500 0.000 0.000
B 0.000 0.000 0.000
Pt 0.500 0.500 0.500



# 8
The following is a DFT calculation (GGA-PBE) of crystalline Sc2BPt at its relaxed geometry.

Output
Its symmetry is R-3m. The energy relative to the elements is 0.3871 eV per atom.

a = 8.111 Å, b = 8.111 Å, c = 8.111 Å
α = 26.85°, β = 26.85°, γ = 26.85°
Element x y z (fractional)
Sc 0.101 0.101 0.101
Sc 0.899 0.899 0.899
B 0.000 0.000 0.000
Pt 0.500 0.500 0.500



# 9
The following is a DFT calculation (GGA-PBE) of crystalline Sc2BPt at its relaxed geometry.

Output
Its symmetry is I-42d. The energy relative to the elements is 0.1235 eV per atom.

a = 7.566 Å, b = 7.566 Å, c = 7.566 Å
α = 140.12°, β = 140.12°, γ = 57.67°
Element x y z (fractional)
Sc 0.075 0.625 0.950
Sc 0.375 0.325 0.450
Sc 0.675 0.125 0.050
Sc 0.875 0.925 0.550
B 0.000 0.000 0.000
B 0.750 0.250 0.500
Pt 0.250 0.750 0.500
Pt 0.500 0.500 0.000



# 10
The following is a DFT calculation (GGA-PBE) of crystalline ScBPt at its relaxed geometry.

Output
Its symmetry is C2/m. The value obtained for the distance to the lowest polymorph of the same formula is 0 kJ/mol of formula units. The energy relative to the elements is -0.7753 eV per atom.

a = 5.782 Å, b = 5.782 Å, c = 4.814 Å
α = 105.77°, β = 105.77°, γ = 33.27°
Element x y z (fractional)
Sc 0.128 0.128 0.312
Sc 0.872 0.872 0.688
B 0.234 0.234 0.857
B 0.766 0.766 0.143
Pt 0.401 0.401 0.231
Pt 0.599 0.599 0.769



# 11
The following is a DFT calculation (GGA-PBE) of crystalline Sc2BPt at its relaxed geometry.

Output
Its symmetry is R-3m. The energy relative to the elements is -0.0458 eV per atom.

a = 8.279 Å, b = 8.279 Å, c = 8.279 Å
α = 22.19°, β = 22.19°, γ = 22.19°
Element x y z (fractional)
Sc 0.105 0.105 0.105
Sc 0.895 0.895 0.895
B 0.500 0.500 0.500
Pt 0.000 0.000 0.000



# 12
The following is a DFT calculation (GGA-PBE) of crystalline Sc2SiBPt at its relaxed geometry.

Output
Its symmetry is P4/mmm. The calculation puts the uncorrected formation energy at -0.0085 eV per atom.

a = 5.103 Å, b = 5.103 Å, c = 3.988 Å
α = 90.00°, β = 90.00°, γ = 90.00°
Element x y z (fractional)
Sc 0.000 0.500 0.000
Sc 0.500 0.000 0.000
Si 0.000 0.000 0.500
B 0.500 0.500 0.500
Pt 0.500 0.500 0.000



# 13
The following is a DFT calculation (GGA-PBE) of crystalline B2PtSe6 at its relaxed geometry.

Output
Its symmetry is C2/c. The calculation puts the uncorrected formation energy at -0.0537 eV per atom.

a = 7.787 Å, b = 7.787 Å, c = 6.253 Å
α = 99.21°, β = 99.21°, γ = 80.72°
Element x y z (fractional)
B 0.145 0.292 0.349
B 0.292 0.145 0.849
B 0.708 0.855 0.151
B 0.855 0.708 0.651
Pt 0.390 0.610 0.750
Pt 0.610 0.390 0.250
Se 0.077 0.227 0.631
Se 0.085 0.610 0.841
Se 0.227 0.077 0.131
Se 0.296 0.489 0.360
Se 0.390 0.915 0.659
Se 0.489 0.296 0.860
Se 0.511 0.704 0.140
Se 0.610 0.085 0.341
Se 0.704 0.511 0.640
Se 0.773 0.923 0.869
Se 0.915 0.390 0.159
Se 0.923 0.773 0.369



# 14
The following is a DFT calculation (GGA-PBE) of crystalline B2Pt2Se at its relaxed geometry.

Output
Its symmetry is I4/mmm. The calculation puts the uncorrected formation energy at -0.0737 eV per atom.

a = 6.786 Å, b = 6.786 Å, c = 6.786 Å
α = 152.04°, β = 152.04°, γ = 39.96°
Element x y z (fractional)
B 0.250 0.750 0.500
B 0.750 0.250 0.500
Pt 0.143 0.143 0.000
Pt 0.857 0.857 0.000
Se 0.500 0.500 0.000



# 15
The following is a DFT calculation (GGA-PBE) of crystalline Ti2BPtSe at its relaxed geometry.

Output
Its symmetry is P4/mmm. The calculation puts the uncorrected formation energy at 0.0350 eV per atom.

a = 4.296 Å, b = 4.296 Å, c = 4.227 Å
α = 90.00°, β = 90.00°, γ = 90.00°
Element x y z (fractional)
Ti 0.000 0.500 0.000
Ti 0.500 0.000 0.000
B 0.000 0.000 0.000
Pt 0.500 0.500 0.500
Se 0.000 0.000 0.500



# 16
The following is a DFT calculation (GGA-PBE) of crystalline BPtWSe2 at its relaxed geometry.

Output
Its symmetry is P4/mmm. The calculation puts the uncorrected formation energy at 2.0482 eV per atom.

a = 5.007 Å, b = 5.007 Å, c = 4.956 Å
α = 90.00°, β = 90.00°, γ = 90.00°
Element x y z (fractional)
B 0.000 0.000 0.000
Pt 0.500 0.500 0.500
W 0.500 0.500 0.000
Se 0.000 0.500 0.500
Se 0.500 0.000 0.500



# 17
The following is a DFT calculation (GGA-PBE) of crystalline YBPtSe2 at its relaxed geometry.

Output
Its symmetry is P4/mmm. The calculation puts the uncorrected formation energy at 0.7232 eV per atom.

a = 4.860 Å, b = 4.860 Å, c = 5.461 Å
α = 90.00°, β = 90.00°, γ = 90.00°
Element x y z (fractional)
Y 0.000 0.000 0.000
B 0.500 0.500 0.000
Pt 0.000 0.000 0.500
Se 0.000 0.500 0.500
Se 0.500 0.000 0.500



# 18
The following is a DFT calculation (GGA-PBE) of crystalline ZnBPtSe2 at its relaxed geometry.

Output
Its symmetry is P4/mmm. The calculation puts the uncorrected formation energy at 0.6780 eV per atom.

a = 4.583 Å, b = 4.583 Å, c = 3.951 Å
α = 90.00°, β = 90.00°, γ = 90.00°
Element x y z (fractional)
Zn 0.000 0.000 0.000
B 0.000 0.000 0.500
Pt 0.500 0.500 0.000
Se 0.000 0.500 0.500
Se 0.500 0.000 0.500



# 19
The following is a DFT calculation (GGA-PBE) of crystalline SiB3Pt at its relaxed geometry.

Output
Its symmetry is Pm-3m. The calculation puts the uncorrected formation energy at 1.5652 eV per atom. The value obtained for the distance to the lowest polymorph of the same formula is 93 kJ/mol of formula units.

a = 3.961 Å, b = 3.961 Å, c = 3.961 Å
α = 90.00°, β = 90.00°, γ = 90.00°
Element x y z (fractional)
Si 0.000 0.000 0.000
B 0.000 0.000 0.500
B 0.000 0.500 0.000
B 0.500 0.000 0.000
Pt 0.500 0.500 0.500



# 20
The following is a DFT calculation (GGA-PBE) of crystalline SiB2Pt at its relaxed geometry.

Output
Its symmetry is I-42d. The calculation puts the uncorrected formation energy at 0.2327 eV per atom.

a = 5.904 Å, b = 5.904 Å, c = 5.904 Å
α = 132.70°, β = 132.70°, γ = 69.13°
Element x y z (fractional)
Si 0.000 0.000 0.000
Si 0.750 0.250 0.500
B 0.121 0.625 0.996
B 0.375 0.371 0.496
B 0.629 0.125 0.004
B 0.875 0.879 0.504
Pt 0.250 0.750 0.500
Pt 0.500 0.500 0.000



# 21
The following is a DFT calculation (GGA-PBE) of crystalline Si3BPt at its relaxed geometry.

Output
Its symmetry is Pm-3m. The calculation puts the uncorrected formation energy at 0.4579 eV per atom.

a = 4.075 Å, b = 4.075 Å, c = 4.075 Å
α = 90.00°, β = 90.00°, γ = 90.00°
Element x y z (fractional)
Si 0.000 0.000 0.500
Si 0.000 0.500 0.000
Si 0.500 0.000 0.000
B 0.000 0.000 0.000
Pt 0.500 0.500 0.500



# 22
The following is a DFT calculation (GGA-PBE) of crystalline Si2BPt at its relaxed geometry.

Output
Its symmetry is I-42d. The calculation puts the uncorrected formation energy at -0.0424 eV per atom.

a = 5.962 Å, b = 5.962 Å, c = 5.962 Å
α = 128.23°, β = 128.23°, γ = 76.26°
Element x y z (fractional)
Si 0.065 0.625 0.940
Si 0.375 0.315 0.440
Si 0.685 0.125 0.060
Si 0.875 0.935 0.560
B 0.000 0.000 0.000
B 0.750 0.250 0.500
Pt 0.250 0.750 0.500
Pt 0.500 0.500 0.000



# 23
The following is a DFT calculation (GGA-PBE) of crystalline SiBPt3 at its relaxed geometry.

Output
Its symmetry is Pm-3m. The calculation puts the uncorrected formation energy at 0.1203 eV per atom. The value obtained for the distance to the lowest polymorph of the same formula is 0 kJ/mol of formula units.

a = 4.229 Å, b = 4.229 Å, c = 4.229 Å
α = 90.00°, β = 90.00°, γ = 90.00°
Element x y z (fractional)
Si 0.000 0.000 0.000
B 0.500 0.500 0.500
Pt 0.000 0.500 0.500
Pt 0.500 0.000 0.500
Pt 0.500 0.500 0.000



# 24
The following is a DFT calculation (GGA-PBE) of crystalline SiB3Pt at its relaxed geometry.

Output
Its symmetry is Pm-3m. The calculation puts the uncorrected formation energy at 1.3720 eV per atom. The value obtained for the distance to the lowest polymorph of the same formula is 0 kJ/mol of formula units.

a = 4.139 Å, b = 4.139 Å, c = 4.139 Å
α = 90.00°, β = 90.00°, γ = 90.00°
Element x y z (fractional)
Si 0.000 0.000 0.000
B 0.000 0.500 0.500
B 0.500 0.000 0.500
B 0.500 0.500 0.000
Pt 0.500 0.500 0.500



# 25
The following is a DFT calculation (GGA-PBE) of crystalline Sm3SiB2Pt9 at its relaxed geometry.

Output
Its symmetry is P-3m1. The calculation puts the uncorrected formation energy at -0.8591 eV per atom.

a = 5.798 Å, b = 5.798 Å, c = 9.065 Å
α = 90.00°, β = 90.00°, γ = 120.00°
Element x y z (fractional)
Sm 0.000 0.000 0.000
Sm 0.333 0.667 0.606
Sm 0.667 0.333 0.394
Si 0.000 0.000 0.500
B 0.333 0.667 0.151
B 0.667 0.333 0.849
Pt 0.000 0.500 0.000
Pt 0.164 0.329 0.294
Pt 0.164 0.836 0.294
Pt 0.329 0.164 0.706
Pt 0.500 0.000 0.000
Pt 0.500 0.500 0.000
Pt 0.671 0.836 0.294
Pt 0.836 0.164 0.706
Pt 0.836 0.671 0.706



# 26
The following is a DFT calculation (GGA-PBE) of crystalline Tb2SiBPt6 at its relaxed geometry.

Output
Its symmetry is Pmmn. The calculation puts the uncorrected formation energy at -0.9607 eV per atom.

a = 5.687 Å, b = 8.576 Å, c = 7.231 Å
α = 90.00°, β = 90.00°, γ = 90.00°
Element x y z (fractional)
Tb 0.250 0.032 0.221
Tb 0.250 0.468 0.221
Tb 0.750 0.532 0.779
Tb 0.750 0.968 0.779
Si 0.250 0.750 0.806
Si 0.750 0.250 0.194
B 0.250 0.250 0.708
B 0.750 0.750 0.292
Pt 0.000 0.250 0.927
Pt 0.000 0.750 0.073
Pt 0.008 0.750 0.503
Pt 0.250 0.002 0.655
Pt 0.250 0.498 0.655
Pt 0.492 0.750 0.503
Pt 0.500 0.250 0.927
Pt 0.500 0.750 0.073
Pt 0.508 0.250 0.497
Pt 0.750 0.502 0.345
Pt 0.750 0.998 0.345
Pt 0.992 0.250 0.497